# 1
Here is a crystal of ZrAg2IrRh relaxed with PBEsol from Alexandria via LeMat-Bulk. Energies are from meta-GGA SCAN.

Cell and atoms, written as POSCAR:
```
ZrAg2IrRh
1.0
4.784 0.000 0.000
0.000 4.784 0.000
0.000 0.000 4.619
Zr Ag Ir Rh
1 2 1 1
Cartesian
0.000 0.000 0.000
0.000 2.392 2.310
2.392 0.000 2.310
2.392 2.392 0.000
0.000 0.000 2.310
```

Computed properties:
Energy of formation from the pure elements, eV per atom: 1.160
Symmetry: P4/mmm
D(E_F), states/eV/f.u.: 2.81

***

# 2
Here is a crystal of KTlSe relaxed with PBEsol from Alexandria via LeMat-Bulk. Energies are from meta-GGA SCAN.

Cell and atoms, written as POSCAR:
```
KTlSe
1.0
3.886 0.000 0.000
0.000 3.886 0.000
0.000 0.000 11.567
K Tl Se
2 2 2
Cartesian
0.000 0.000 0.000
1.943 1.943 5.783
0.000 0.000 3.367
1.943 1.943 9.150
0.000 0.000 7.780
1.943 1.943 1.996
```

Computed properties:
Offset from the most stable computed form, kJ per mole of atoms: 6.56
Formation energy from raw total energies, eV/atom: -0.7729
Symmetry: I4mm
D(E_F), states/eV/f.u.: 0.00

***

# 3
Here is a crystal of Sc2PtAu relaxed with PBEsol from Alexandria via LeMat-Bulk. Energies are from meta-GGA SCAN.

Cell and atoms, written as POSCAR:
```
Sc2PtAu
1.0
3.272 0.000 0.000
0.000 3.272 0.000
0.000 0.000 6.739
Sc Pt Au
2 1 1
Cartesian
0.000 0.000 1.619
0.000 0.000 5.121
1.636 1.636 0.000
1.636 1.636 3.370
```

Computed properties:
Energy of formation from the pure elements, eV per atom: -1.270
Symmetry: P4/mmm
D(E_F), states/eV/f.u.: 1.49